Below is an optimized crystal structure of Tb2Tm4Tl, with properties calculated at the PBE level.

- M_tot (μB per cell) = 0.00
- Fermi-level density of states (states/eV per cell) = 39.026
- crystal system = monoclinic
- DFT formation energy (meV per atom) = -46.2
- energy relative to the lowest polymorph listed for this composition (meV per atom) = 0.0

abc: 3.574 20.307 11.758
angles: 89.99 79.85 90.00
Positions (direct):
Tb1 0.061 0.927 0.900
Tb2 0.939 0.073 0.100
Tb3 0.561 0.573 0.400
Tb4 0.439 0.427 0.600
Tb5 0.702 0.846 0.682
Tb6 0.298 0.154 0.318
Tb7 0.202 0.654 0.182
Tb8 0.798 0.346 0.818
Tm1 0.221 0.996 0.633
Tm2 0.779 0.004 0.367
Tm3 0.721 0.504 0.133
Tm4 0.279 0.496 0.867
Tm5 0.612 0.074 0.849
Tm6 0.388 0.926 0.151
Tm7 0.112 0.426 0.349
Tm8 0.888 0.574 0.651
Tm9 0.773 0.796 0.262
Tm10 0.227 0.204 0.738
Tm11 0.273 0.704 0.762
Tm12 0.727 0.296 0.238
Tm13 0.520 0.784 0.992
Tm14 0.480 0.216 0.008
Tm15 0.020 0.716 0.492
Tm16 0.980 0.284 0.508
Tl1 0.220 0.879 0.441
Tl2 0.780 0.121 0.559
Tl3 0.720 0.621 0.941
Tl4 0.280 0.379 0.059

=====

Below is an optimized crystal structure of Tb2Tm3Tl4, with properties calculated at the PBE level.

- M_tot (μB per cell) = 0.00
- Fermi-level density of states (states/eV per cell) = 7.136
- crystal system = monoclinic
- DFT formation energy (meV per atom) = -281.8
- energy relative to the lowest polymorph listed for this composition (meV per atom) = 0.0

abc: 5.233 5.230 10.506
angles: 90.06 90.01 59.97
Positions (direct):
Tb1 0.333 0.333 0.775
Tb2 0.667 0.667 0.225
Tm1 0.333 0.333 0.427
Tm2 0.000 0.000 0.000
Tm3 0.667 0.667 0.573
Tl1 0.667 0.667 0.896
Tl2 0.000 0.000 0.346
Tl3 0.000 0.000 0.654
Tl4 0.333 0.333 0.104

=====

Below is an optimized crystal structure of Tb3Tm3Tl2, with properties calculated at the PBE level.

- M_tot (μB per cell) = 1.45
- Fermi-level density of states (states/eV per cell) = 10.256
- crystal system = orthorhombic
- DFT formation energy (meV per atom) = -173.0
- energy relative to the lowest polymorph listed for this composition (meV per atom) = 0.0

abc: 4.818 4.825 9.691
angles: 90.00 90.00 90.00
Site moments in Bohr magnetons follow the coordinates.
Positions (direct):
Tb1 0.500 0.000 0.500  0.21
Tb2 0.000 0.500 0.000  0.19
Tb3 0.000 0.500 0.500  0.19
Tm1 0.500 0.500 0.751  0.20
Tm2 0.500 0.500 0.249  0.20
Tm3 0.500 0.000 0.000  0.18
Tl1 0.000 0.000 0.752  -0.01
Tl2 0.000 0.000 0.248  -0.01

=====

Below is an optimized crystal structure of TbTm2Tl2, with properties calculated at the PBE level.

- M_tot (μB per cell) = 0.00
- Fermi-level density of states (states/eV per cell) = 9.809
- crystal system = monoclinic
- DFT formation energy (meV per atom) = -264.3
- energy relative to the lowest polymorph listed for this composition (meV per atom) = 4.3

abc: 3.745 5.360 13.985
angles: 90.00 97.72 90.00
Positions (direct):
Tb1 0.852 0.750 0.701
Tb2 0.148 0.250 0.299
Tm1 0.049 0.750 0.099
Tm2 0.951 0.250 0.901
Tm3 0.238 0.750 0.476
Tm4 0.762 0.250 0.524
Tl1 0.644 0.750 0.290
Tl2 0.356 0.250 0.710
Tl3 0.452 0.750 0.904
Tl4 0.548 0.250 0.096